The following is a DFT calculation (PBE) of a relaxed structure of Nd4GaSCl2.

Computed properties:
space-group type = P2/m
energy relative to the elements, uncorrected = -11.1 eV/f.u.

Cell lengths 4.1940, 7.4206, 7.1287 Å; angles 70.29, 90.00, 90.00 degrees
Sites, in units of the cell vectors:
Ga 0.5000 0.5000 0.0000
S 0.0000 0.5000 0.5000
Nd 0.0000 0.2712 0.2520
Nd 0.0000 0.7288 0.7479
Cl 0.5000 0.0000 0.5000
Cl 0.0000 0.0000 0.0000
Nd 0.5000 0.7192 0.2666
Nd 0.5000 0.2808 0.7334